The following is a PBEsol calculation of a geometry-optimized LaTl2Fe structure, from the Alexandria database. Values from VASP.

The structure in Quantum ESPRESSO input format:
```
&SYSTEM
  ibrav = 0, nat = 4, ntyp = 3
/
ATOMIC_SPECIES
Tl 204.38 Tl.upf
Fe 55.84 Fe.upf
La 138.91 La.upf
CELL_PARAMETERS angstrom
3.4330 0.0000 0.0000
0.0000 3.4330 0.0000
0.0000 0.0000 8.0046
ATOMIC_POSITIONS crystal
Tl 0.5000 0.5000 0.2987
Tl 0.0000 0.0000 0.0219
Fe 0.0000 0.0000 0.4752
La 0.5000 0.5000 0.7042
```

## Properties
Its symmetry is P4mm. Its energy of formation is 0.19 eV/atom.


The following is a PBEsol calculation of a geometry-optimized La2FeW structure, from the Alexandria database. Values from VASP.

The structure in Quantum ESPRESSO input format:
```
&SYSTEM
  ibrav = 0, nat = 4, ntyp = 3
/
ATOMIC_SPECIES
Fe 55.84 Fe.upf
W 183.84 W.upf
La 138.91 La.upf
CELL_PARAMETERS angstrom
-0.6700 -4.7151 -1.5802
2.5910 -1.7182 -3.9386
3.6196 -3.4096 0.6722
ATOMIC_POSITIONS crystal
Fe 0.0000 0.0000 0.0000
W 0.5000 0.5000 0.5000
La 0.2500 0.2500 0.2500
La 0.7500 0.7500 0.7500
```

## Properties
Its symmetry is Fm-3m. Its energy of formation is 0.79 eV/atom.


The following is a PBEsol calculation of a geometry-optimized La4FeW structure, from the Alexandria database. Values from VASP.

The structure in Quantum ESPRESSO input format:
```
&SYSTEM
  ibrav = 0, nat = 6, ntyp = 3
/
ATOMIC_SPECIES
La 138.91 La.upf
Fe 55.84 Fe.upf
W 183.84 W.upf
CELL_PARAMETERS angstrom
6.0541 0.0000 0.0000
3.0271 5.2430 0.0000
3.0271 1.7477 4.9432
ATOMIC_POSITIONS crystal
La 0.3754 0.3754 0.3754
La 0.3754 0.8736 0.3754
La 0.3754 0.3754 0.8736
La 0.8736 0.3754 0.3754
Fe 0.0000 0.0000 0.0000
W 0.7500 0.7500 0.7500
```

## Properties
Its symmetry is F-43m. Its energy of formation is 1.31 eV/atom.


The following is a PBEsol calculation of a geometry-optimized LaFeW structure, from the Alexandria database. Values from VASP.

The structure in Quantum ESPRESSO input format:
```
&SYSTEM
  ibrav = 0, nat = 3, ntyp = 3
/
ATOMIC_SPECIES
W 183.84 W.upf
Fe 55.84 Fe.upf
La 138.91 La.upf
CELL_PARAMETERS angstrom
-0.4481 -0.6104 -3.8774
2.7391 -2.0131 2.0131
-3.0998 -3.3345 0.8832
ATOMIC_POSITIONS crystal
W 0.6667 0.3333 0.1396
Fe 0.0000 0.0000 0.2005
La 0.3333 0.6667 0.6599
```

## Properties
Its symmetry is P3m1. Its energy of formation is 0.44 eV/atom.


The following is a PBEsol calculation of a geometry-optimized La2YFe structure, from the Alexandria database. Values from VASP.

The structure in Quantum ESPRESSO input format:
```
&SYSTEM
  ibrav = 0, nat = 4, ntyp = 3
/
ATOMIC_SPECIES
La 138.91 La.upf
Y 88.91 Y.upf
Fe 55.84 Fe.upf
CELL_PARAMETERS angstrom
3.4532 0.0000 0.0486
0.0000 3.4497 0.0000
-0.6464 0.0000 8.8282
ATOMIC_POSITIONS crystal
La 0.4799 0.5000 0.2500
La 0.9549 0.0000 0.9340
Y 0.0303 0.0000 0.5678
Fe 0.5349 0.5000 0.7482
```

## Properties
Its symmetry is Pm. Its energy of formation is 0.15 eV/atom.


The following is a PBEsol calculation of a geometry-optimized La3YFe structure, from the Alexandria database. Values from VASP.

The structure in Quantum ESPRESSO input format:
```
&SYSTEM
  ibrav = 0, nat = 5, ntyp = 3
/
ATOMIC_SPECIES
La 138.91 La.upf
Fe 55.84 Fe.upf
Y 88.91 Y.upf
CELL_PARAMETERS angstrom
5.3093 0.0000 0.0000
0.0000 5.3093 0.0000
0.0000 0.0000 5.3093
ATOMIC_POSITIONS crystal
La 0.0000 0.5000 0.0000
La 0.5000 0.0000 0.0000
La 0.0000 0.0000 0.5000
Fe 0.0000 0.0000 0.0000
Y 0.5000 0.5000 0.5000
```

## Properties
Its symmetry is Pm-3m. Its energy of formation is 0.13 eV/atom.


For the records above, the corresponding D(E_F) values read 1.47, 1.86, 1.87, 0.96, 1.39, 1.17 states/eV/atom.